1.
{"formula": "SrTaAu", "functional": "PBE", "state": "optimized geometry", "dos_at_fermi_per_ev_cell": 14.935, "e_above_lowest_polymorph_mev_per_atom": 870.5, "e_form_ev_per_atom": 0.80, "spacegroup": "No. 216", "vol_a3_per_atom": 27.7, "total_magnetization_mub_per_cell": 6.79, "lattice_angstrom": [[6.9272, 0.0000, 0.0000], [0.0000, 6.9272, 0.0000], [0.0000, 0.0000, 6.9272]], "species": ["Sr", "Sr", "Sr", "Sr", "Ta", "Ta", "Ta", "Ta", "Au", "Au", "Au", "Au"], "frac_coords": [[0.0000, 0.0000, 0.0000], [0.0000, 0.5000, 0.5000], [0.5000, 0.0000, 0.5000], [0.5000, 0.5000, 0.0000], [0.0000, 0.0000, 0.5000], [0.0000, 0.5000, 0.0000], [0.5000, 0.0000, 0.0000], [0.5000, 0.5000, 0.5000], [0.2500, 0.2500, 0.7500], [0.2500, 0.7500, 0.2500], [0.7500, 0.2500, 0.2500], [0.7500, 0.7500, 0.7500]]}


2.
{"formula": "SrTaAu", "functional": "PBE", "state": "optimized geometry", "dos_at_fermi_per_ev_cell": 13.015, "e_above_lowest_polymorph_mev_per_atom": 129.1, "e_form_ev_per_atom": 0.06, "spacegroup": "No. 12", "vol_a3_per_atom": 30.9, "total_magnetization_mub_per_cell": 0.00, "lattice_angstrom": [[7.7453, 0.0000, 0.0000], [0.0000, 4.4729, 0.0000], [-0.0239, 0.0000, 10.7110]], "species": ["Sr", "Sr", "Sr", "Sr", "Ta", "Ta", "Ta", "Ta", "Au", "Au", "Au", "Au"], "frac_coords": [[0.1681, 0.0000, 0.3108], [0.3319, 0.5000, 0.6892], [0.6681, 0.5000, 0.3108], [0.8319, 0.0000, 0.6892], [0.1670, 0.0000, 0.9385], [0.3330, 0.5000, 0.0615], [0.6670, 0.5000, 0.9385], [0.8330, 0.0000, 0.0615], [0.0009, 0.5000, 0.1351], [0.4991, 0.0000, 0.8649], [0.5009, 0.0000, 0.1351], [0.9991, 0.5000, 0.8649]]}


3.
{"formula": "SrTaAu3", "functional": "PBE", "state": "optimized geometry", "dos_at_fermi_per_ev_cell": 6.034, "e_above_lowest_polymorph_mev_per_atom": 1438.0, "e_form_ev_per_atom": 1.50, "spacegroup": "No. 221", "vol_a3_per_atom": 31.4, "total_magnetization_mub_per_cell": 3.16, "lattice_angstrom": [[5.3954, 0.0000, 0.0000], [0.0000, 5.3954, 0.0000], [0.0000, 0.0000, 5.3954]], "species": ["Sr", "Ta", "Au", "Au", "Au"], "frac_coords": [[0.0000, 0.0000, 0.0000], [0.5000, 0.5000, 0.5000], [0.0000, 0.0000, 0.5000], [0.0000, 0.5000, 0.0000], [0.5000, 0.0000, 0.0000]]}


4.
{"formula": "SrTaAu3", "functional": "PBE", "state": "optimized geometry", "dos_at_fermi_per_ev_cell": 3.215, "e_above_lowest_polymorph_mev_per_atom": 0.0, "e_form_ev_per_atom": 0.06, "spacegroup": "No. 221", "vol_a3_per_atom": 27.9, "total_magnetization_mub_per_cell": 0.00, "lattice_angstrom": [[5.1840, 0.0000, 0.0000], [0.0000, 5.1840, 0.0000], [0.0000, 0.0000, 5.1840]], "species": ["Sr", "Ta", "Au", "Au", "Au"], "frac_coords": [[0.0000, 0.0000, 0.0000], [0.5000, 0.5000, 0.5000], [0.0000, 0.5000, 0.5000], [0.5000, 0.0000, 0.5000], [0.5000, 0.5000, 0.0000]]}